No. 1
Here is an optimized crystal structure of BaMg2GaH from the Alexandria database. Energies are from GGA-PBE.

Results
Mass density ... 3.768 Mg/m³
Magnetization ... 0.00 μB per formula unit
E ... -2.59 eV/atom

Cell: 6.650 6.650 7.897 Å, 90.00 90.00 139.62°
Fractional coordinates of all 10 atoms:
Ba: 0.054 0.946 0.750
Ba: 0.946 0.054 0.250
Mg: 0.330 0.670 0.560
Mg: 0.330 0.670 0.940
Mg: 0.670 0.330 0.060
Mg: 0.670 0.330 0.440
Ga: 0.221 0.779 0.250
Ga: 0.779 0.221 0.750
H: 0.500 0.500 0.000
H: 0.500 0.500 0.500

***

No. 2
Here is an optimized crystal structure of BaMg2GaH from the Alexandria database. Energies are from GGA-PBE.

Results
Mass density ... 2.101 Mg/m³
Magnetization ... 0.00 μB per formula unit
E ... -1.59 eV/atom

Cell: 6.672 6.672 4.557 Å, 90.00 90.00 90.00°
Fractional coordinates of all 5 atoms:
Ba: 0.000 0.000 0.000
Mg: 0.000 0.500 0.000
Mg: 0.500 0.000 0.000
Ga: 0.500 0.500 0.500
H: 0.000 0.000 0.500

***

No. 3
Here is an optimized crystal structure of BaMnGa2H from the Alexandria database. Energies are from GGA-PBE.

Results
Mass density ... 4.097 Mg/m³
Magnetization ... 1.88 μB per formula unit
E ... -3.82 eV/atom

Cell: 4.634 4.634 6.279 Å, 90.00 90.00 90.00°
Fractional coordinates of all 5 atoms:
Ba: 0.000 0.000 0.000
Mn: 0.000 0.000 0.500
Ga: 0.000 0.500 0.500
Ga: 0.500 0.000 0.500
H: 0.500 0.500 0.000

***

No. 4
Here is an optimized crystal structure of Ba6Ga2HN from the Alexandria database. Energies are from GGA-PBE.

Results
Mass density ... 4.690 Mg/m³
Magnetization ... 0.00 μB per formula unit
E ... -3.28 eV/atom

Cell: 7.816 7.981 13.567 Å, 90.00 125.05 90.00°
Fractional coordinates of all 20 atoms:
Ba: 0.155 0.013 0.240
Ba: 0.155 0.487 0.740
Ba: 0.245 0.725 0.042
Ba: 0.245 0.775 0.542
Ba: 0.321 0.207 0.045
Ba: 0.321 0.293 0.545
Ba: 0.679 0.707 0.455
Ba: 0.679 0.793 0.955
Ba: 0.755 0.225 0.458
Ba: 0.755 0.275 0.958
Ba: 0.845 0.513 0.260
Ba: 0.845 0.987 0.760
Ga: 0.265 0.045 0.749
Ga: 0.265 0.455 0.249
Ga: 0.735 0.545 0.751
Ga: 0.735 0.955 0.251
H: 0.500 0.000 0.500
H: 0.500 0.500 0.000
N: 0.000 0.000 0.000
N: 0.000 0.500 0.500

***

No. 5
Here is an optimized crystal structure of BaNa2GaH from the Alexandria database. Energies are from GGA-PBE.

Results
Mass density ... 1.921 Mg/m³
Magnetization ... 0.00 μB per formula unit
E ... -1.73 eV/atom

Cell: 6.935 6.935 4.566 Å, 90.00 90.00 90.00°
Fractional coordinates of all 5 atoms:
Ba: 0.000 0.000 0.000
Na: 0.000 0.500 0.000
Na: 0.500 0.000 0.000
Ga: 0.500 0.500 0.500
H: 0.000 0.000 0.500

***

No. 6
Here is an optimized crystal structure of BaNaGa2H8 from the Alexandria database. Energies are from GGA-PBE.

Results
Mass density ... 2.963 Mg/m³
Magnetization ... 0.00 μB per formula unit
E ... -3.13 eV/atom

Cell: 4.798 4.798 8.656 Å, 90.00 90.00 120.00°
Fractional coordinates of all 12 atoms:
Ba: 0.000 0.000 0.000
Na: 0.000 0.000 0.500
Ga: 0.333 0.667 0.751
Ga: 0.667 0.333 0.249
H: 0.038 0.327 0.704
H: 0.289 0.962 0.704
H: 0.327 0.289 0.296
H: 0.333 0.667 0.947
H: 0.667 0.333 0.053
H: 0.673 0.711 0.704
H: 0.711 0.038 0.296
H: 0.962 0.673 0.296

***

No. 7
Here is an optimized crystal structure of BaNa2GaH from the Alexandria database. Energies are from GGA-PBE.

Results
Mass density ... 3.144 Mg/m³
Magnetization ... 0.59 μB per formula unit
E ... -2.30 eV/atom

Cell: 4.950 4.950 5.476 Å, 90.00 90.00 90.00°
Fractional coordinates of all 5 atoms:
Ba: 0.000 0.000 0.000
Na: 0.000 0.500 0.500
Na: 0.500 0.000 0.500
Ga: 0.500 0.500 0.000
H: 0.000 0.000 0.500

***

No. 8
Here is an optimized crystal structure of Ba2NaGaH from the Alexandria database. Energies are from GGA-PBE.

Results
Mass density ... 4.004 Mg/m³
Magnetization ... 0.49 μB per formula unit
E ... -2.45 eV/atom

Cell: 5.817 5.817 4.516 Å, 90.00 90.00 90.00°
Fractional coordinates of all 5 atoms:
Ba: 0.000 0.500 0.000
Ba: 0.500 0.000 0.000
Na: 0.000 0.000 0.500
Ga: 0.500 0.500 0.500
H: 0.500 0.500 0.000

***

No. 9
Here is an optimized crystal structure of Ba2NaGaH from the Alexandria database. Energies are from GGA-PBE.

Results
Mass density ... 4.101 Mg/m³
Magnetization ... 0.00 μB per formula unit
E ... -2.56 eV/atom

Cell: 5.714 5.714 4.569 Å, 90.00 90.00 90.00°
Fractional coordinates of all 5 atoms:
Ba: 0.000 0.500 0.000
Ba: 0.500 0.000 0.000
Na: 0.000 0.000 0.500
Ga: 0.500 0.500 0.500
H: 0.000 0.000 0.000

***

No. 10
Here is an optimized crystal structure of BaGaNi2H8 from the Alexandria database. Energies are from GGA-PBE.

Results
Mass density ... 4.488 Mg/m³
Magnetization ... 0.00 μB per formula unit
E ... -3.59 eV/atom

Cell: 4.573 4.573 6.794 Å, 90.00 90.00 120.00°
Fractional coordinates of all 12 atoms:
Ba: 0.000 0.000 0.000
Ga: 0.000 0.000 0.500
Ni: 0.333 0.667 0.644
Ni: 0.667 0.333 0.356
H: 0.008 0.684 0.339
H: 0.316 0.324 0.339
H: 0.324 0.008 0.661
H: 0.333 0.667 0.870
H: 0.667 0.333 0.130
H: 0.676 0.992 0.339
H: 0.684 0.676 0.661
H: 0.992 0.316 0.661

***

No. 11
Here is an optimized crystal structure of BaGaH2O4 from the Alexandria database. Energies are from GGA-PBE.

Results
Mass density ... 4.517 Mg/m³
Magnetization ... 1.03 μB per formula unit
E ... -5.41 eV/atom

Cell: 5.243 5.243 5.243 Å, 129.04 106.23 95.20°
Fractional coordinates of all 8 atoms:
Ba: 0.000 0.000 0.000
Ga: 0.500 0.500 0.000
H: 0.336 0.836 0.500
H: 0.664 0.164 0.500
O: 0.218 0.053 0.598
O: 0.455 0.620 0.402
O: 0.545 0.947 0.165
O: 0.782 0.380 0.835

***

No. 12
Here is an optimized crystal structure of Ba2GaP4HO14 from the Alexandria database. Energies are from GGA-PBE.

Results
Mass density ... 3.955 Mg/m³
Magnetization ... 0.00 μB per formula unit
E ... -6.98 eV/atom

Cell: 4.865 7.768 8.691 Å, 108.15 96.68 106.76°
Fractional coordinates of all 22 atoms:
Ba: 0.159 0.470 0.239
Ba: 0.841 0.530 0.761
Ga: 0.000 0.000 0.500
P: 0.376 0.168 0.873
P: 0.444 0.816 0.637
P: 0.556 0.184 0.363
P: 0.624 0.832 0.127
H: 0.000 0.000 0.000
O: 0.158 0.146 0.988
O: 0.231 0.131 0.371
O: 0.249 0.834 0.494
O: 0.255 0.201 0.716
O: 0.332 0.673 0.034
O: 0.334 0.614 0.642
O: 0.414 0.958 0.811
O: 0.586 0.042 0.189
O: 0.666 0.386 0.358
O: 0.668 0.327 0.966
O: 0.745 0.799 0.284
O: 0.751 0.166 0.506
O: 0.769 0.869 0.629
O: 0.842 0.854 0.012